A plane-wave DFT calculation with PBE with a Hubbard U was carried out for a relaxed structure of Mn21O40.

calculated total energy: -7.103 eV per atom
crystal system: tetragonal
density: 4.12 g/cm³
M_tot: 122.01 μB/cell

abc: 13.1115 13.1115 8.4069
angles: 90.00 90.00 90.00
With the nearest neighbours (Å) after each atom.
Space group I-4 (No. 82)
Inequivalent atoms, fractional coordinates:
Mn1 0.0000 0.0000 0.0000 x2  4 O 1.91
Mn2 0.0002 0.2554 0.8828 x8  6 O 1.92-1.98
Mn3 0.0494 0.9008 0.6245 x8  5 O 1.93-2.08
Mn4 0.0542 0.4029 0.1254 x8  6 O 1.94-1.97
Mn5 0.1471 0.7000 0.6343 x8  6 O 1.92-1.98
Mn6 0.1559 0.2042 0.1158 x8  6 O 1.93-1.99
O1 0.0117 0.7546 0.6554 x8  3 Mn 1.92-2.00
O2 0.0183 0.2598 0.1124 x8  3 Mn 1.94-1.95
O3 0.0430 0.9130 0.3776 x8  3 Mn 1.93-2.08
O4 0.0477 0.4143 0.3572 x8  3 Mn 1.95-1.96
O5 0.0552 0.3910 0.8930 x8  3 Mn 1.92-1.98
O6 0.0580 0.8840 0.8977 x8  3 Mn 1.91-1.99
O7 0.1429 0.2162 0.8865 x8  3 Mn 1.94-1.95
O8 0.1440 0.7081 0.8663 x8  3 Mn 1.95-1.96
O9 0.1532 0.6923 0.3989 x8  3 Mn 1.93-1.98
O10 0.1597 0.1880 0.3438 x8  3 Mn 1.92-2.00